# Cu2NiTeO6 | Alexandria via LeMat-Bulk | PBE+U | relaxed
# **E above lowest polymorph**: 0.193 eV per atom
# **Calculated total energy**: -4.97 eV per atom
# **Crystal system**: monoclinic
data_Cu2NiTeO6
_chemical_formula_sum 'Cu8 Ni4 Te4 O24'
_cell_length_a 10.076
_cell_length_b 8.309
_cell_length_c 5.496
_cell_angle_alpha 90.00
_cell_angle_beta 100.48
_cell_angle_gamma 90.00
_space_group_name_H-M_alt 'C 1 2/c 1'
_space_group_IT_number 15
_space_group_name_Hall '-C 2yc'
loop_
_atom_site_label
_atom_site_fract_x
_atom_site_fract_y
_atom_site_fract_z
_atom_site_occupancy
Cu1 0.241 0.093 0.179 1
Ni1 0.000 0.344 0.250 1
Te1 0.000 0.204 0.750 1
O1 0.122 0.325 0.020 1
O2 0.124 0.020 0.880 1
O3 0.128 0.301 0.556 1